# Zr2P3W4N3 PBE-GGA optimized geometry
# - Raw total energy: -231.02 eV/cell
# - Space group: C2/c (15)
# - Magnetic moment: 0.0 μB per formula unit
data_Zr2P3W4N3
_space_group_name_H-M_alt 'P 1'
_space_group_IT_number 1
_space_group_name_Hall 'P 1'
_cell_length_a 5.636
_cell_length_b 5.636
_cell_length_c 12.075
_cell_angle_alpha 103.42
_cell_angle_beta 103.42
_cell_angle_gamma 61.20
loop_
_atom_site_label
_atom_site_type_symbol
_atom_site_fract_x
_atom_site_fract_y
_atom_site_fract_z
N1 N 0.500 0.000 0.000
N2 N 0.816 0.345 0.000
N3 N 0.655 0.184 0.500
N4 N 0.000 0.500 0.500
N5 N 0.345 0.816 0.500
N6 N 0.184 0.655 0.000
P1 P 0.571 0.791 0.250
P2 P 0.937 0.063 0.250
P3 P 0.209 0.429 0.250
P4 P 0.791 0.571 0.750
P5 P 0.063 0.937 0.750
P6 P 0.429 0.209 0.750
W1 W 0.173 0.055 0.094
W2 W 0.880 0.722 0.096
W3 W 0.278 0.120 0.404
W4 W 0.945 0.827 0.406
W5 W 0.055 0.173 0.594
W6 W 0.722 0.880 0.596
W7 W 0.120 0.278 0.904
W8 W 0.827 0.945 0.906
Zr1 Zr 0.532 0.358 0.107
Zr2 Zr 0.642 0.468 0.393
Zr3 Zr 0.358 0.532 0.607
Zr4 Zr 0.468 0.642 0.893

# Y4Zr2P3N3 PBE-GGA optimized geometry
# - Raw total energy: -202.35 eV/cell
# - Space group: C2/c (15)
# - Magnetic moment: 0.0 μB per formula unit
data_Y4Zr2P3N3
_space_group_name_H-M_alt 'P 1'
_space_group_IT_number 1
_space_group_name_Hall 'P 1'
_cell_length_a 6.222
_cell_length_b 6.222
_cell_length_c 12.929
_cell_angle_alpha 103.88
_cell_angle_beta 103.88
_cell_angle_gamma 60.10
loop_
_atom_site_label
_atom_site_type_symbol
_atom_site_fract_x
_atom_site_fract_y
_atom_site_fract_z
N1 N 0.500 0.000 0.000
N2 N 0.807 0.346 0.000
N3 N 0.193 0.654 0.000
N4 N 0.346 0.807 0.500
N5 N 0.000 0.500 0.500
N6 N 0.654 0.193 0.500
P1 P 0.583 0.732 0.249
P2 P 0.899 0.101 0.250
P3 P 0.268 0.417 0.251
P4 P 0.732 0.583 0.749
P5 P 0.101 0.899 0.750
P6 P 0.417 0.268 0.751
Y1 Y 0.871 0.703 0.108
Y2 Y 0.202 0.038 0.108
Y3 Y 0.962 0.798 0.392
Y4 Y 0.297 0.129 0.392
Y5 Y 0.703 0.871 0.608
Y6 Y 0.038 0.202 0.608
Y7 Y 0.798 0.962 0.892
Y8 Y 0.129 0.297 0.892
Zr1 Zr 0.535 0.368 0.103
Zr2 Zr 0.632 0.465 0.397
Zr3 Zr 0.368 0.535 0.603
Zr4 Zr 0.465 0.632 0.897

# Y2Zr4P3N3 PBE-GGA optimized geometry
# - Raw total energy: -210.69 eV/cell
# - Space group: C2/c (15)
# - Magnetic moment: 0.0 μB per formula unit
data_Y2Zr4P3N3
_space_group_name_H-M_alt 'P 1'
_space_group_IT_number 1
_space_group_name_Hall 'P 1'
_cell_length_a 6.057
_cell_length_b 6.057
_cell_length_c 12.737
_cell_angle_alpha 103.71
_cell_angle_beta 103.71
_cell_angle_gamma 60.01
loop_
_atom_site_label
_atom_site_type_symbol
_atom_site_fract_x
_atom_site_fract_y
_atom_site_fract_z
N1 N 0.673 0.154 0.000
N2 N 0.000 0.500 0.000
N3 N 0.327 0.846 0.000
N4 N 0.154 0.673 0.500
N5 N 0.500 0.000 0.500
N6 N 0.846 0.327 0.500
P1 P 0.417 0.233 0.249
P2 P 0.067 0.933 0.250
P3 P 0.767 0.583 0.251
P4 P 0.233 0.417 0.749
P5 P 0.933 0.067 0.750
P6 P 0.583 0.767 0.751
Y1 Y 0.371 0.536 0.107
Y2 Y 0.464 0.629 0.393
Y3 Y 0.536 0.371 0.607
Y4 Y 0.629 0.464 0.893
Zr1 Zr 0.034 0.202 0.103
Zr2 Zr 0.701 0.867 0.103
Zr3 Zr 0.133 0.299 0.397
Zr4 Zr 0.798 0.966 0.397
Zr5 Zr 0.202 0.034 0.603
Zr6 Zr 0.867 0.701 0.603
Zr7 Zr 0.299 0.133 0.897
Zr8 Zr 0.966 0.798 0.897